Compound: Nd3BiP2Rh9
Source: Alexandria via LeMat-Bulk
Functional: PBE
Structure: relaxed Values from VASP.

```
&SYSTEM
  ibrav = 0, nat = 15, ntyp = 4
/
ATOMIC_SPECIES
Nd 144.24 Nd.upf
Bi 208.98 Bi.upf
P 30.97 P.upf
Rh 102.91 Rh.upf
CELL_PARAMETERS angstrom
6.107 0.000 0.000
-3.054 5.289 0.000
0.000 0.000 9.458
ATOMIC_POSITIONS crystal
Nd 0.000 0.000 0.000
Nd 0.333 0.667 0.716
Nd 0.667 0.333 0.284
Bi 0.000 0.000 0.500
P 0.333 0.667 0.156
P 0.667 0.333 0.844
Rh 0.000 0.500 0.000
Rh 0.153 0.305 0.268
Rh 0.153 0.847 0.268
Rh 0.305 0.153 0.732
Rh 0.500 0.000 0.000
Rh 0.500 0.500 0.000
Rh 0.695 0.847 0.268
Rh 0.847 0.153 0.732
Rh 0.847 0.695 0.732
```

Summary:
The magnetic moment comes out at 0.000 μB per formula unit. The density of states at the Fermi level is 0.541 states/eV per atom. The energy of formation is -0.5892 eV per atom. As for the final energy: -6.93 eV/atom. Its space group is P-3m1, No. 164. As for the volume: 20.37 Å³/atom.